# 1
This record from Alexandria via LeMat-Bulk describes a relaxed LiEr2RuO6 crystal. The functional is PBE.

abc: 5.4691 5.4691 14.5542
angles: 90.00 90.00 120.00
Space group R3 (No. 146, hexagonal axes)
Symmetry-distinct sites (fractional):
1 Li 0.0000 0.0000 0.0000 (multiplicity 3)
2 Er 0.0000 0.0000 0.2303 (multiplicity 3)
3 Er 0.0000 0.0000 0.7350 (multiplicity 3)
4 Ru 0.0000 0.0000 0.5297 (multiplicity 3)
5 O 0.0222 0.7268 0.6185 (multiplicity 9)
6 O 0.0488 0.3410 0.1268 (multiplicity 9)

---

# 2
This record from Alexandria via LeMat-Bulk describes a relaxed Li3Er3RuO8 crystal. The functional is PBE.

abc: 6.5521 6.5521 14.8959
angles: 90.00 90.00 120.00
Space group R-3m (No. 166, hexagonal axes)
Symmetry-distinct sites (fractional):
1 Li 0.0000 0.5000 0.0000 (multiplicity 9)
2 Er 0.0000 0.5000 0.5000 (multiplicity 9)
3 Ru 0.0000 0.0000 0.5000 (multiplicity 3)
4 O 0.0000 0.0000 0.2441 (multiplicity 6)
5 O 0.0283 0.5142 0.2424 (multiplicity 18)

Calculated values
As for the density of states at the Fermi level: 5.9 states/eV/f.u.

---

# 3
This record from Alexandria via LeMat-Bulk describes a relaxed LiErS2O8 crystal. The functional is PBE.

abc: 5.3450 5.3450 6.5987
angles: 90.00 90.00 120.00
Space group P-3m1 (No. 164)
Symmetry-distinct sites (fractional):
1 Li 0.0000 0.0000 0.0000 (multiplicity 1)
2 Er 0.0000 0.0000 0.5000 (multiplicity 1)
3 S 0.3333 0.6667 0.7993 (multiplicity 2)
4 O 0.1820 0.3640 0.7169 (multiplicity 6)
5 O 0.3333 0.6667 0.0179 (multiplicity 2)

Calculated values
As for the density of states at the Fermi level: 0.0 states/eV/f.u.

---

# 4
This record from Alexandria via LeMat-Bulk describes a relaxed LiErS2O8 crystal. The functional is PBE.

abc: 7.5229 7.5229 5.9231
angles: 90.00 90.00 90.00
Space group P-4n2 (No. 118)
Symmetry-distinct sites (fractional):
1 Li 0.0000 0.5000 0.2500 (multiplicity 2)
2 Er 0.0000 0.5000 0.7500 (multiplicity 2)
3 S 0.2243 0.2757 0.2500 (multiplicity 4)
4 O 0.0913 0.7924 0.8347 (multiplicity 8)
5 O 0.0930 0.3192 0.4353 (multiplicity 8)

Calculated values
As for the density of states at the Fermi level: 0.0 states/eV/f.u.

---

# 5
This record from Alexandria via LeMat-Bulk describes a relaxed Li3Er3SbO8 crystal. The functional is PBE.

abc: 6.6932 6.6932 15.0642
angles: 90.00 90.00 120.00
Space group R-3m (No. 166, hexagonal axes)
Symmetry-distinct sites (fractional):
1 Li 0.0000 0.5000 0.0000 (multiplicity 9)
2 Er 0.0000 0.5000 0.5000 (multiplicity 9)
3 Sb 0.0000 0.0000 0.5000 (multiplicity 3)
4 O 0.0000 0.0000 0.2430 (multiplicity 6)
5 O 0.0197 0.5099 0.2417 (multiplicity 18)

Calculated values
As for the density of states at the Fermi level: 1.5 states/eV/f.u.

---

# 6
This record from Alexandria via LeMat-Bulk describes a relaxed LiErSc4O8 crystal. The functional is PBE.

abc: 6.3563 6.3563 15.2957
angles: 90.00 90.00 120.00
Space group R3m (No. 160, hexagonal axes)
Symmetry-distinct sites (fractional):
1 Li 0.0000 0.0000 0.0000 (multiplicity 3)
2 Er 0.0000 0.0000 0.6237 (multiplicity 3)
3 Sc 0.0000 0.0000 0.3834 (multiplicity 3)
4 Sc 0.0017 0.5009 0.5044 (multiplicity 9)
5 O 0.0000 0.0000 0.2473 (multiplicity 3)
6 O 0.0000 0.0000 0.7645 (multiplicity 3)
7 O 0.0085 0.5042 0.7629 (multiplicity 9)
8 O 0.1819 0.3638 0.5796 (multiplicity 9)

Calculated values
As for the density of states at the Fermi level: 0.0 states/eV/f.u.

---

# 7
This record from Alexandria via LeMat-Bulk describes a relaxed LiEr2SeO5 crystal. The functional is PBE.

abc: 6.4509 6.4509 11.9648
angles: 90.00 90.00 90.00
Space group I4/mcm (No. 140)
Symmetry-distinct sites (fractional):
1 Li 0.0000 0.0000 0.2500 (multiplicity 4)
2 Er 0.1746 0.3254 0.0000 (multiplicity 8)
3 Se 0.0000 0.5000 0.2500 (multiplicity 4)
4 O 0.0000 0.0000 0.0000 (multiplicity 4)
5 O 0.1387 0.3613 0.3835 (multiplicity 16)

Calculated values
As for the density of states at the Fermi level: 1.9 states/eV/f.u.

---

# 8
This record from Alexandria via LeMat-Bulk describes a relaxed LiErSeO crystal. The functional is PBE.

abc: 3.8853 3.8853 8.9178
angles: 90.00 90.00 90.00
Space group P4/nmm (No. 129, origin choice 2)
Symmetry-distinct sites (fractional):
1 Li 0.2500 0.7500 0.0000 (multiplicity 2)
2 Er 0.2500 0.2500 0.3779 (multiplicity 2)
3 Se 0.2500 0.2500 0.8177 (multiplicity 2)
4 O 0.2500 0.7500 0.5000 (multiplicity 2)

Calculated values
As for the density of states at the Fermi level: 0.0 states/eV/f.u.

---

# 9
This record from Alexandria via LeMat-Bulk describes a relaxed LiErSiO4 crystal. The functional is PBE.

abc: 5.7946 6.7069 8.0540
angles: 90.00 90.00 90.00
Space group Imma (No. 74)
Symmetry-distinct sites (fractional):
1 Li 0.2500 0.2500 0.2500 (multiplicity 4)
2 Er 0.0000 0.0000 0.0000 (multiplicity 4)
3 Si 0.0000 0.2500 0.6154 (multiplicity 4)
4 O 0.0000 0.0436 0.7268 (multiplicity 8)
5 O 0.2381 0.2500 0.4919 (multiplicity 8)

Calculated values
As for the density of states at the Fermi level: 0.0 states/eV/f.u.

---

# 10
This record from Alexandria via LeMat-Bulk describes a relaxed LiErSi2O6 crystal. The functional is PBE.

abc: 10.1222 9.4721 5.5090
angles: 90.00 111.13 90.00
Space group C2/c (No. 15)
Symmetry-distinct sites (fractional):
1 Li 0.0000 0.2411 0.2500 (multiplicity 4)
2 Er 0.0000 0.1153 0.7500 (multiplicity 4)
3 Si 0.2002 0.4174 0.7052 (multiplicity 8)
4 O 0.1245 0.0834 0.1726 (multiplicity 8)
5 O 0.1239 0.2652 0.6298 (multiplicity 8)
6 O 0.1508 0.4878 0.9352 (multiplicity 8)

Calculated values
As for the density of states at the Fermi level: 0.0 states/eV/f.u.

---

# 11
This record from Alexandria via LeMat-Bulk describes a relaxed Li3Er3SiO8 crystal. The functional is PBE.

abc: 6.4553 6.4553 14.7037
angles: 90.00 90.00 120.00
Space group R-3m (No. 166, hexagonal axes)
Symmetry-distinct sites (fractional):
1 Li 0.0000 0.5000 0.0000 (multiplicity 9)
2 Er 0.0000 0.5000 0.5000 (multiplicity 9)
3 Si 0.0000 0.0000 0.5000 (multiplicity 3)
4 O 0.0000 0.0000 0.2446 (multiplicity 6)
5 O 0.0547 0.5273 0.2375 (multiplicity 18)

Calculated values
As for the density of states at the Fermi level: 0.0 states/eV/f.u.

---

# 12
This record from Alexandria via LeMat-Bulk describes a relaxed SrLiErO3 crystal. The functional is PBE.

abc: 3.4156 11.0560 8.6704
angles: 90.00 90.00 90.00
Space group Cmcm (No. 63)
Symmetry-distinct sites (fractional):
1 Sr 0.0000 0.2445 0.2500 (multiplicity 4)
2 Li 0.0000 0.0256 0.7500 (multiplicity 4)
3 Er 0.0000 0.5000 0.0000 (multiplicity 4)
4 O 0.0000 0.1232 0.5728 (multiplicity 8)
5 O 0.0000 0.4316 0.7500 (multiplicity 4)

Calculated values
As for the density of states at the Fermi level: 0.0 states/eV/f.u.

---

| no. | formation energy from raw total energies (eV per atom) |
| --- | --- |
| 1 | -2.419 |
| 2 | -2.490 |
| 3 | -1.997 |
| 4 | -1.931 |
| 5 | -2.549 |
| 6 | -3.318 |
| 7 | -2.055 |
| 8 | -2.402 |
| 9 | -2.861 |
| 10 | -2.943 |
| 11 | -2.802 |
| 12 | -2.852 |